Material: UCoSe6
Method: DFT, PBE-GGA
State: optimized geometry

Output
Density of states at the Fermi level   7.598 states/eV/f.u.
DFT total energy   -5.34 eV per atom
Formation energy without anion corrections   -3.389 eV per formula unit

a b c (Å): 4.9599 5.7676 6.2880
angles (deg): 99.22 91.12 100.32
Space group P-1 (No. 2)
Unique sites:
U1 0.0000 0.0000 0.0000 [1 per cell]
Co1 0.5000 0.5000 0.5000 [1 per cell]
Se1 0.1448 0.2617 0.6536 [2 per cell]
Se2 0.1971 0.5151 0.2065 [2 per cell]
Se3 0.4723 0.8559 0.7585 [2 per cell]